VASP calculation (PBE) on Sm3Re5N12 after structural relaxation.

Properties
- Magnetization: 0.0 μB per formula unit
- Energy: -0.683 Ry per atom

a b c (Å): 11.095 11.095 11.095
angles (deg): 109.47 109.47 109.47
Sites, in units of the cell vectors:
1 Sm 0.125 0.250 0.375
2 Sm 0.125 0.375 0.750
3 Sm 0.250 0.375 0.125
4 Sm 0.250 0.875 0.625
5 Sm 0.375 0.125 0.250
6 Sm 0.375 0.750 0.125
7 Sm 0.625 0.250 0.875
8 Sm 0.625 0.875 0.750
9 Sm 0.750 0.125 0.375
10 Sm 0.750 0.625 0.875
11 Sm 0.875 0.625 0.250
12 Sm 0.875 0.750 0.625
13 Re 0.000 0.000 0.000
14 Re 0.000 0.000 0.500
15 Re 0.000 0.500 0.000
16 Re 0.000 0.500 0.500
17 Re 0.125 0.750 0.875
18 Re 0.125 0.875 0.250
19 Re 0.250 0.125 0.875
20 Re 0.250 0.625 0.375
21 Re 0.375 0.250 0.625
22 Re 0.375 0.625 0.750
23 Re 0.500 0.000 0.000
24 Re 0.500 0.000 0.500
25 Re 0.500 0.500 0.000
26 Re 0.500 0.500 0.500
27 Re 0.625 0.375 0.250
28 Re 0.625 0.750 0.375
29 Re 0.750 0.375 0.625
30 Re 0.750 0.875 0.125
31 Re 0.875 0.125 0.750
32 Re 0.875 0.250 0.125
33 N 0.013 0.195 0.114
34 N 0.013 0.318 0.899
35 N 0.081 0.695 0.682
36 N 0.081 0.886 0.399
37 N 0.101 0.614 0.419
38 N 0.101 0.987 0.682
39 N 0.114 0.013 0.195
40 N 0.114 0.601 0.919
41 N 0.182 0.195 0.581
42 N 0.182 0.487 0.601
43 N 0.195 0.114 0.013
44 N 0.195 0.581 0.182
45 N 0.305 0.318 0.919
46 N 0.305 0.487 0.386
47 N 0.318 0.899 0.013
48 N 0.318 0.919 0.305
49 N 0.386 0.305 0.487
50 N 0.386 0.581 0.899
51 N 0.399 0.081 0.886
52 N 0.399 0.818 0.513
53 N 0.419 0.101 0.614
54 N 0.419 0.818 0.805
55 N 0.487 0.386 0.305
56 N 0.487 0.601 0.182
57 N 0.513 0.399 0.818
58 N 0.513 0.614 0.695
59 N 0.581 0.182 0.195
60 N 0.581 0.899 0.386
61 N 0.601 0.182 0.487
62 N 0.601 0.919 0.114
63 N 0.614 0.419 0.101
64 N 0.614 0.695 0.513
65 N 0.682 0.081 0.695
66 N 0.682 0.101 0.987
67 N 0.695 0.513 0.614
68 N 0.695 0.682 0.081
69 N 0.805 0.419 0.818
70 N 0.805 0.886 0.987
71 N 0.818 0.513 0.399
72 N 0.818 0.805 0.419
73 N 0.886 0.399 0.081
74 N 0.886 0.987 0.805
75 N 0.899 0.013 0.318
76 N 0.899 0.386 0.581
77 N 0.919 0.114 0.601
78 N 0.919 0.305 0.318
79 N 0.987 0.682 0.101
80 N 0.987 0.805 0.886